Here is an optimized crystal structure of KNaHg2 from Alexandria. Energies are from PBE.

```
4
Lattice="-3.3381 -3.7073 -1.6308 1.8046 -4.2206 -2.5447 0.1134 -5.4426 3.6949" Properties=species:S:1:pos:R:3 pbc="T T T"
Hg -1.4813 -8.1620 -3.7501
Hg -0.4575 -2.8833 -0.9547
K -0.7332 -6.5815 -0.4287
Na -0.9917 -10.3568 0.2371
```

## Properties
Total DFT energy (no corrections)   -0.962 eV per atom
DOS at the Fermi energy   1.18 states/eV/cell
Mass density   5.5 g/cm³
Energy above the lowest structure with this stoichiometry   37 meV per atom
Formation energy from the elements   -4.783 kcal/mol of atoms
M_tot   0.00 μB/f.u.